The following is a PBE with a Hubbard U calculation of a geometry-optimized CrHg2PO structure, from Alexandria via LeMat-Bulk. Values from VASP.

```
&SYSTEM
  ibrav = 0, nat = 5, ntyp = 4
/
ATOMIC_SPECIES
Cr 52.00 Cr.upf
Hg 200.59 Hg.upf
P 30.97 P.upf
O 16.00 O.upf
ATOMIC_POSITIONS angstrom
Cr 0.0000 0.0000 0.0000
Hg 0.0000 2.7661 1.7292
Hg 2.7661 0.0000 1.7292
P 2.7661 2.7661 0.0000
O 2.7661 2.7661 1.7292
CELL_PARAMETERS angstrom
5.5322 0.0000 0.0000
0.0000 5.5322 0.0000
0.0000 0.0000 3.4583
```

Properties
Polymorph energy (0 for the lowest one) in meV per atom: 0
Calculated density in g/cm3: 7.8
Space-group type: P4/mmm